# 1
This record from OQMD via LeMat-Bulk describes a geometry-optimized CsZrAuSe3 structure. The functional is PBE.

Lattice parameters (Å, degrees): 14.214 4.053 12.044 90.00 90.00 90.00
Sites, in units of the cell vectors:
Cs (0.160, 0.250, 0.007)
Cs (0.340, 0.750, 0.507)
Cs (0.660, 0.250, 0.493)
Cs (0.840, 0.750, 0.993)
Zr (0.037, 0.750, 0.639)
Zr (0.463, 0.250, 0.139)
Zr (0.537, 0.750, 0.861)
Zr (0.963, 0.250, 0.361)
Au (0.196, 0.750, 0.254)
Au (0.304, 0.250, 0.754)
Au (0.696, 0.750, 0.246)
Au (0.804, 0.250, 0.746)
Se (0.023, 0.750, 0.223)
Se (0.111, 0.250, 0.510)
Se (0.191, 0.750, 0.760)
Se (0.309, 0.250, 0.260)
Se (0.389, 0.750, 0.010)
Se (0.477, 0.250, 0.723)
Se (0.523, 0.750, 0.277)
Se (0.611, 0.250, 0.990)
Se (0.691, 0.750, 0.740)
Se (0.809, 0.250, 0.240)
Se (0.889, 0.750, 0.490)
Se (0.977, 0.250, 0.777)

Calculated values
**Excess energy over the best structure of this formula in the dataset**: 0.0722 eV/atom

# 2
This record from OQMD via LeMat-Bulk describes a geometry-optimized ScReNO structure. The functional is PBE.

Lattice parameters (Å, degrees): 3.729 3.729 7.145 90.00 90.00 90.00
Sites, in units of the cell vectors:
Sc (0.250, 0.250, 0.131)
Sc (0.750, 0.750, 0.869)
Re (0.250, 0.750, 0.500)
Re (0.750, 0.250, 0.500)
N (0.250, 0.250, 0.641)
N (0.750, 0.750, 0.359)
O (0.250, 0.750, 0.000)
O (0.750, 0.250, 0.000)

Calculated values
**Excess energy over the best structure of this formula in the dataset**: 0.3531 eV/atom

# 3
This record from OQMD via LeMat-Bulk describes a geometry-optimized Tl2ReCl6 structure. The functional is PBE.

Lattice parameters (Å, degrees): 7.027 7.027 6.078 90.53 90.53 60.05
Sites, in units of the cell vectors:
Tl (0.168, 0.168, 0.187)
Tl (0.832, 0.832, 0.813)
Re (0.500, 0.500, 0.000)
Cl (0.181, 0.661, 0.222)
Cl (0.339, 0.339, 0.777)
Cl (0.339, 0.819, 0.778)
Cl (0.661, 0.181, 0.222)
Cl (0.661, 0.661, 0.223)
Cl (0.819, 0.339, 0.778)

Calculated values
**Total energy**: -35.7 eV per cell

# 4
This record from OQMD via LeMat-Bulk describes a geometry-optimized SiHg2Mo structure. The functional is PBE.

Lattice parameters (Å, degrees): 6.648 6.648 6.648 90.00 90.00 90.00
Sites, in units of the cell vectors:
Si (0.000, 0.000, 0.000)
Si (0.000, 0.500, 0.500)
Si (0.500, 0.000, 0.500)
Si (0.500, 0.500, 0.000)
Hg (0.000, 0.000, 0.500)
Hg (0.000, 0.500, 0.000)
Hg (0.250, 0.250, 0.750)
Hg (0.250, 0.750, 0.250)
Hg (0.500, 0.000, 0.000)
Hg (0.500, 0.500, 0.500)
Hg (0.750, 0.250, 0.250)
Hg (0.750, 0.750, 0.750)
Mo (0.250, 0.250, 0.250)
Mo (0.250, 0.750, 0.750)
Mo (0.750, 0.250, 0.750)
Mo (0.750, 0.750, 0.250)

Calculated values
**Total energy**: -54.8 eV per cell

# 5
This record from OQMD via LeMat-Bulk describes a geometry-optimized CuAg3 structure. The functional is PBE.

Lattice parameters (Å, degrees): 4.937 6.372 8.632 98.56 95.70 97.05
Sites, in units of the cell vectors:
Cu (0.000, 0.000, 0.000)
Cu (0.245, 0.697, 0.823)
Cu (0.490, 0.397, 0.644)
Cu (0.743, 0.580, 0.938)
Ag (0.002, 0.515, 0.515)
Ag (0.242, 0.955, 0.576)
Ag (0.245, 0.199, 0.316)
Ag (0.246, 0.453, 0.061)
Ag (0.493, 0.141, 0.879)
Ag (0.497, 0.885, 0.117)
Ag (0.498, 0.636, 0.386)
Ag (0.738, 0.079, 0.449)
Ag (0.745, 0.814, 0.710)
Ag (0.752, 0.325, 0.185)
Ag (0.985, 0.273, 0.761)
Ag (0.992, 0.765, 0.248)

Calculated values
**Energy of formation from the pure elements**: 0.0657 eV/atom

# 6
This record from OQMD via LeMat-Bulk describes a geometry-optimized Nb2GeAs2 structure. The functional is PBE.

Lattice parameters (Å, degrees): 3.662 3.662 13.546 90.00 90.00 90.00
Sites, in units of the cell vectors:
Nb (0.000, 0.000, 0.104)
Nb (0.000, 0.000, 0.896)
Nb (0.500, 0.500, 0.396)
Nb (0.500, 0.500, 0.604)
Ge (0.000, 0.000, 0.500)
Ge (0.500, 0.500, 0.000)
As (0.000, 0.500, 0.250)
As (0.000, 0.500, 0.750)
As (0.500, 0.000, 0.250)
As (0.500, 0.000, 0.750)

Calculated values
**Excess energy over the best structure of this formula in the dataset**: 0.0000 eV/atom

# 7
This record from OQMD via LeMat-Bulk describes a geometry-optimized Er5Lu3Te structure. The functional is PBE.

Lattice parameters (Å, degrees): 9.078 9.078 3.718 90.00 90.00 120.00
Sites, in units of the cell vectors:
Er (0.000, 0.277, 0.000)
Er (0.277, 0.000, 0.000)
Er (0.333, 0.667, 0.000)
Er (0.667, 0.333, 0.000)
Er (0.723, 0.723, 0.000)
Lu (0.000, 0.614, 0.500)
Lu (0.386, 0.386, 0.500)
Lu (0.614, 0.000, 0.500)
Te (0.000, 0.000, 0.500)

Calculated values
**Excess energy over the best structure of this formula in the dataset**: 0.0000 eV/atom

# 8
This record from OQMD via LeMat-Bulk describes a geometry-optimized KReB structure. The functional is PBE.

Lattice parameters (Å, degrees): 5.921 5.921 5.921 90.00 90.00 90.00
Sites, in units of the cell vectors:
K (0.000, 0.000, 0.000)
K (0.000, 0.500, 0.500)
K (0.500, 0.000, 0.500)
K (0.500, 0.500, 0.000)
Re (0.000, 0.000, 0.500)
Re (0.000, 0.500, 0.000)
Re (0.500, 0.000, 0.000)
Re (0.500, 0.500, 0.500)
B (0.250, 0.250, 0.250)
B (0.250, 0.750, 0.750)
B (0.750, 0.250, 0.750)
B (0.750, 0.750, 0.250)

Calculated values
**Excess energy over the best structure of this formula in the dataset**: 0.0000 eV/atom